1.
This record from Alexandria via LeMat-Bulk describes a PBEsol-optimized structure of Ca2Br. The functional is SCAN.

Cell lengths 3.8336, 6.8564, 8.2396 Å; angles 96.24, 90.00, 106.23 degrees
Last column: nearest neighbours and their distance in Å.
Atoms (fractional coordinates):
Ca (0.6251, 0.2502, 0.2572)  2 Br 3.07
Ca (0.6035, 0.2071, 0.7448)  3 Br 3.07-3.28
Ca (0.9039, 0.8078, 0.4330)  2 Br 2.92
Ca (0.3241, 0.6482, 0.0303)  3 Br 2.94-3.10
Br (0.0075, 0.0151, 0.0125)  6 Ca 3.07-3.28
Br (0.3692, 0.7383, 0.6889)  4 Ca 2.92-3.07

The energy is -13.829 eV per atom. As for the formation energy without anion corrections: -0.9004 eV/atom.

=====

2.
This record from Alexandria via LeMat-Bulk describes a PBEsol-optimized structure of BaMnPt2. The functional is SCAN.

Cell lengths 4.2287, 4.2287, 5.4070 Å; angles 113.02, 113.02, 90.00 degrees
Last column: nearest neighbours and their distance in Å.
Atoms (fractional coordinates):
Pt (0.0000, 0.0000, 0.0000)  4 Ba 2.99, 4 Mn 3.09, 4 Pt 3.09
Pt (0.7500, 0.2500, 0.5000)  4 Mn 2.99, 4 Ba 3.09, 4 Pt 3.09
Ba (0.5000, 0.5000, 0.0000)  8 Pt 2.99-3.09, 4 Mn 3.09
Mn (0.2500, 0.7500, 0.5000)  8 Pt 2.99-3.09, 4 Ba 3.09

Its energy of formation from the pure elements is -0.097 eV/atom. The energy is -49.645 eV per atom.

=====

3.
This record from Alexandria via LeMat-Bulk describes a PBEsol-optimized structure of Tl2SiAg. The functional is SCAN.

Cell lengths 3.1838, 3.1838, 8.6830 Å; angles 90.00, 90.00, 99.80 degrees
Last column: nearest neighbours and their distance in Å.
Atoms (fractional coordinates):
Tl (0.0000, 0.0000, 0.2512)  4 Ag 2.98-3.26, 4 Si 2.99-3.27, 4 Tl 3.18
Tl (0.0000, 0.0000, 0.7488)  4 Ag 2.98-3.26, 4 Si 2.99-3.27, 4 Tl 3.18
Ag (0.5000, 0.5000, 0.5000)  8 Tl 2.98-3.26, 4 Ag 3.18
Si (0.5000, 0.5000, 0.0000)  8 Tl 2.99-3.27, 4 Si 3.18

The energy is -46.042 eV per atom. As for the formation energy without anion corrections: 0.4831 eV/atom.

=====

4.
This record from Alexandria via LeMat-Bulk describes a PBEsol-optimized structure of ScTa2Os. The functional is SCAN.

Cell lengths 2.9445, 2.9445, 9.4924 Å; angles 81.08, 81.08, 60.00 degrees
Last column: nearest neighbours and their distance in Å.
Atoms (fractional coordinates):
Ta (0.2431, 0.2431, 0.2706)  3 Os 2.73, 6 Ta 2.94, 3 Sc 3.05
Ta (0.7569, 0.7569, 0.7294)  3 Os 2.73, 6 Ta 2.94, 3 Sc 3.05
Os (0.5000, 0.5000, 0.5000)  6 Ta 2.73, 6 Os 2.94
Sc (0.0000, 0.0000, 0.0000)  6 Sc 2.94, 6 Ta 3.05

Its energy of formation from the pure elements is 0.147 eV/atom. The energy is -54.674 eV per atom.

=====

5.
This record from Alexandria via LeMat-Bulk describes a PBEsol-optimized structure of TlZnSb2Pt. The functional is SCAN.

Cell lengths 5.1665, 5.2483, 5.2483 Å; angles 90.00, 90.00, 90.00 degrees
Last column: nearest neighbours and their distance in Å.
Atoms (fractional coordinates):
Sb (0.0000, 0.5000, 0.0000)  2 Pt 2.62
Sb (0.0000, 0.0000, 0.5000)  2 Pt 2.62
Tl (0.5000, 0.0000, 0.0000)  2 Pt 2.58
Pt (0.0000, 0.0000, 0.0000)  2 Tl 2.58, 4 Sb 2.62
Zn (0.5000, 0.5000, 0.5000)  8 Sb 3.68, 4 Tl 3.71

The energy is -45.741 eV per atom. As for the formation energy without anion corrections: 0.3762 eV/atom.

=====

6.
This record from Alexandria via LeMat-Bulk describes a PBEsol-optimized structure of Li2YTcRh. The functional is SCAN.

Cell lengths 4.4364, 4.4364, 4.6792 Å; angles 90.00, 90.00, 90.00 degrees
Last column: nearest neighbours and their distance in Å.
Atoms (fractional coordinates):
Rh (0.0000, 0.0000, 0.0000)  4 Li 2.22, 2 Tc 2.34
Li (0.0000, 0.5000, 0.0000)  2 Rh 2.22
Li (0.5000, 0.0000, 0.0000)  2 Rh 2.22
Y (0.5000, 0.5000, 0.5000)  4 Tc 3.14, 8 Li 3.22
Tc (0.0000, 0.0000, 0.5000)  2 Rh 2.34

Its energy of formation from the pure elements is 0.204 eV/atom. The energy is -20.087 eV per atom.

=====

7.
This record from Alexandria via LeMat-Bulk describes a PBEsol-optimized structure of CaSb2. The functional is SCAN.

Cell lengths 3.9285, 6.1019, 7.5610 Å; angles 95.23, 90.00, 108.78 degrees
Last column: nearest neighbours and their distance in Å.
Atoms (fractional coordinates):
Sb (0.3240, 0.6480, 0.8946)  3 Sb 2.93-3.14, 1 Ca 3.19
Sb (0.6760, 0.3520, 0.1054)  3 Sb 2.93-3.14, 1 Ca 3.19
Sb (0.6279, 0.2557, 0.4787)  2 Sb 2.93-3.00, 2 Ca 3.21
Sb (0.3721, 0.7443, 0.5213)  2 Sb 2.93-3.00, 2 Ca 3.21
Ca (0.9493, 0.8986, 0.2181)  9 Sb 3.19-3.45
Ca (0.0507, 0.1014, 0.7819)  9 Sb 3.19-3.45

The energy is -28.562 eV per atom. As for the formation energy without anion corrections: -0.5002 eV/atom.

=====

8.
This record from Alexandria via LeMat-Bulk describes a PBEsol-optimized structure of Ta2NbV. The functional is SCAN.

Cell lengths 4.5419, 4.5419, 4.5419 Å; angles 60.00, 60.00, 60.00 degrees
Last column: nearest neighbours and their distance in Å.
Atoms (fractional coordinates):
V (0.0000, 0.0000, 0.0000)  8 Ta 2.78
Ta (0.2500, 0.2500, 0.2500)  4 Nb 2.78, 4 V 2.78
Ta (0.7500, 0.7500, 0.7500)  4 V 2.78, 4 Nb 2.78
Nb (0.5000, 0.5000, 0.5000)  8 Ta 2.78

Its energy of formation from the pure elements is 0.040 eV/atom. The energy is -45.907 eV per atom.

=====

9.
This record from Alexandria via LeMat-Bulk describes a PBEsol-optimized structure of OsPtSe2N. The functional is SCAN.

Cell lengths 3.5251, 4.9996, 4.9996 Å; angles 90.00, 90.00, 90.00 degrees
Last column: nearest neighbours and their distance in Å.
Atoms (fractional coordinates):
Pt (0.0000, 0.0000, 0.0000)  2 N 1.76
Os (0.5000, 0.5000, 0.5000)  8 Se 3.06
Se (0.0000, 0.0000, 0.5000)  2 Pt 2.50
Se (0.0000, 0.5000, 0.0000)  2 Pt 2.50
N (0.5000, 0.0000, 0.0000)  2 Pt 1.76

The energy is -36.909 eV per atom. As for the formation energy without anion corrections: 1.3955 eV/atom.

=====

10.
This record from Alexandria via LeMat-Bulk describes a PBEsol-optimized structure of Li2AgPb. The functional is SCAN.

Cell lengths 3.0240, 4.3531, 5.7991 Å; angles 90.00, 90.00, 90.00 degrees
Last column: nearest neighbours and their distance in Å.
Atoms (fractional coordinates):
Pb (0.0000, 0.0000, 0.4937)  6 Li 2.83-3.00, 2 Pb 3.02, 4 Ag 3.11
Li (0.0000, 0.0000, 0.9824)  2 Pb 2.83-2.96, 4 Ag 2.91, 6 Li 3.02-3.07
Li (0.5000, 0.5000, 0.2497)  2 Ag 2.76-3.04, 4 Pb 3.00, 6 Li 3.02-3.07
Ag (0.5000, 0.5000, 0.7743)  6 Li 2.76-3.04, 2 Ag 3.02

Its energy of formation from the pure elements is -0.195 eV/atom. The energy is -28.177 eV per atom.

=====

11.
This record from Alexandria via LeMat-Bulk describes a PBEsol-optimized structure of BeMoIr2. The functional is SCAN.

Cell lengths 3.5571, 3.8750, 3.8750 Å; angles 90.00, 90.00, 90.00 degrees
Last column: nearest neighbours and their distance in Å.
Atoms (fractional coordinates):
Mo (0.5000, 0.5000, 0.5000)  8 Ir 2.63, 4 Be 2.74
Ir (0.0000, 0.0000, 0.5000)  4 Mo 2.63, 4 Be 2.63, 4 Ir 2.74
Ir (0.0000, 0.5000, 0.0000)  4 Mo 2.63, 4 Be 2.63, 4 Ir 2.74
Be (0.5000, 0.0000, 0.0000)  8 Ir 2.63, 4 Mo 2.74

Its energy of formation from the pure elements is -0.155 eV/atom. The energy is -45.515 eV per atom.

=====

12.
This record from Alexandria via LeMat-Bulk describes a PBEsol-optimized structure of SrCr2As2. The functional is SCAN.

Cell lengths 3.9787, 3.9787, 6.6740 Å; angles 107.34, 107.34, 90.00 degrees
Last column: nearest neighbours and their distance in Å.
Atoms (fractional coordinates):
As (0.3617, 0.3617, 0.7234)  4 Cr 2.41
As (0.6383, 0.6383, 0.2766)  4 Cr 2.41
Sr (0.0000, 0.0000, 0.0000)  8 As 3.27, 8 Cr 3.62
Cr (0.7500, 0.2500, 0.5000)  4 As 2.41
Cr (0.2500, 0.7500, 0.5000)  4 As 2.41

Its energy of formation from the pure elements is -0.647 eV/atom. The energy is -20.532 eV per atom.

=====

13.
This record from Alexandria via LeMat-Bulk describes a PBEsol-optimized structure of TcSn3As. The functional is SCAN.

Cell lengths 5.1444, 5.1444, 5.1444 Å; angles 90.00, 90.00, 90.00 degrees
Last column: nearest neighbours and their distance in Å.
Atoms (fractional coordinates):
Sn (0.0000, 0.0000, 0.5000)  2 As 2.57
Sn (0.0000, 0.5000, 0.0000)  2 As 2.57
Sn (0.5000, 0.0000, 0.0000)  2 As 2.57
As (0.0000, 0.0000, 0.0000)  6 Sn 2.57
Tc (0.5000, 0.5000, 0.5000)  12 Sn 3.64

Its energy of formation from the pure elements is 1.316 eV/atom. The energy is -31.287 eV per atom.